(1)
VASP calculation (GGA-PBE) on Pm3Nd4Ho5 after structural relaxation.

Summary:
**Space group**: C2/m
**Distance to the lowest polymorph of the same formula**: 19.5 kJ/mol of atoms

Unit cell a=8.617 b=8.617 c=9.398 alpha=114.53 beta=114.53 gamma=40.66
Positions (direct):
Pm 0.000 0.000 0.000
Pm 0.289 0.289 0.766
Pm 0.711 0.711 0.234
Nd 0.289 0.289 0.118
Nd 0.416 0.416 0.555
Nd 0.584 0.584 0.445
Nd 0.711 0.711 0.882
Ho 0.071 0.071 0.698
Ho 0.172 0.172 0.386
Ho 0.500 0.500 0.000
Ho 0.828 0.828 0.614
Ho 0.929 0.929 0.302

(2)
VASP calculation (GGA-PBE) on Pm3Nd4Ho4 after structural relaxation.

Summary:
**Space group**: Immm
**Distance to the lowest polymorph of the same formula**: 0.0 kJ/mol of atoms

Unit cell a=12.179 b=12.179 c=12.179 alpha=162.94 beta=134.17 gamma=49.25
Positions (direct):
Pm 0.000 0.000 0.000
Pm 0.392 0.892 0.500
Pm 0.608 0.108 0.500
Nd 0.032 0.354 0.678
Nd 0.324 0.646 0.678
Nd 0.676 0.354 0.322
Nd 0.968 0.646 0.322
Ho 0.260 0.260 0.000
Ho 0.318 0.500 0.818
Ho 0.682 0.500 0.182
Ho 0.740 0.740 0.000

(3)
VASP calculation (GGA-PBE) on Pm3Nd6Ho after structural relaxation.

Summary:
**Space group**: C2/m
**Distance to the lowest polymorph of the same formula**: 7.5 kJ/mol of atoms

Unit cell a=6.720 b=6.720 c=9.187 alpha=104.39 beta=104.39 gamma=62.02
Positions (direct):
Pm 0.000 0.000 0.000
Pm 0.075 0.075 0.668
Pm 0.925 0.925 0.332
Nd 0.049 0.573 0.699
Nd 0.376 0.376 0.082
Nd 0.427 0.951 0.301
Nd 0.573 0.049 0.699
Nd 0.624 0.624 0.918
Nd 0.951 0.427 0.301
Ho 0.500 0.500 0.500

(4)
VASP calculation (GGA-PBE) on PmNd3Ho6 after structural relaxation.

Summary:
**Space group**: Cmc2_1
**Distance to the lowest polymorph of the same formula**: 0.0 kJ/mol of atoms

Unit cell a=10.971 b=10.971 c=6.318 alpha=90.00 beta=90.00 gamma=119.60
Positions (direct):
Pm 0.198 0.802 0.500
Pm 0.802 0.198 0.000
Nd 0.063 0.288 0.672
Nd 0.288 0.063 0.172
Nd 0.389 0.611 0.565
Nd 0.611 0.389 0.065
Nd 0.712 0.937 0.672
Nd 0.937 0.712 0.172
Ho 0.041 0.959 0.753
Ho 0.047 0.467 0.262
Ho 0.275 0.725 0.987
Ho 0.288 0.380 0.092
Ho 0.380 0.288 0.592
Ho 0.467 0.047 0.762
Ho 0.533 0.953 0.262
Ho 0.620 0.712 0.092
Ho 0.712 0.620 0.592
Ho 0.725 0.275 0.487
Ho 0.953 0.533 0.762
Ho 0.959 0.041 0.253

(5)
VASP calculation (GGA-PBE) on Pm3NdHo3 after structural relaxation.

Summary:
**Space group**: R-3
**Distance to the lowest polymorph of the same formula**: 17.2 kJ/mol of atoms

Unit cell a=8.908 b=8.908 c=8.908 alpha=58.57 beta=58.57 gamma=58.57
Positions (direct):
Pm 0.067 0.220 0.570
Pm 0.220 0.570 0.067
Pm 0.430 0.933 0.780
Pm 0.570 0.067 0.220
Pm 0.780 0.430 0.933
Pm 0.933 0.780 0.430
Nd 0.154 0.154 0.154
Nd 0.846 0.846 0.846
Ho 0.215 0.437 0.673
Ho 0.327 0.785 0.563
Ho 0.437 0.673 0.215
Ho 0.563 0.327 0.785
Ho 0.673 0.215 0.437
Ho 0.785 0.563 0.327

(6)
VASP calculation (GGA-PBE) on Pm2NdHo after structural relaxation.

Summary:
**Space group**: R-3m
**Distance to the lowest polymorph of the same formula**: 0.0 kJ/mol of atoms

Unit cell a=12.010 b=12.010 c=12.010 alpha=17.37 beta=17.37 gamma=17.37
Positions (direct):
Pm 0.248 0.248 0.248
Pm 0.752 0.752 0.752
Nd 0.000 0.000 0.000
Ho 0.500 0.500 0.500

(7)
VASP calculation (GGA-PBE) on PmNd14Ho after structural relaxation.

Summary:
**Space group**: P4/mmm
**DFT total energy**: -4.74 eV per atom

Unit cell a=7.338 b=7.338 c=10.377 alpha=90.00 beta=90.00 gamma=90.00
Positions (direct):
Pm 0.000 0.000 0.000
Nd 0.000 0.000 0.500
Nd 0.000 0.500 0.000
Nd 0.000 0.500 0.500
Nd 0.251 0.251 0.248
Nd 0.251 0.251 0.752
Nd 0.251 0.749 0.248
Nd 0.251 0.749 0.752
Nd 0.500 0.000 0.000
Nd 0.500 0.000 0.500
Nd 0.500 0.500 0.500
Nd 0.749 0.251 0.248
Nd 0.749 0.251 0.752
Nd 0.749 0.749 0.248
Nd 0.749 0.749 0.752
Ho 0.500 0.500 0.000

(8)
VASP calculation (GGA-PBE) on Pm2Nd3Ho5 after structural relaxation.

Summary:
**Space group**: C2/c
**Distance to the lowest polymorph of the same formula**: 0.0 kJ/mol of atoms

Unit cell a=9.752 b=9.752 c=9.351 alpha=108.23 beta=108.23 gamma=113.58
Positions (direct):
Pm 0.016 0.276 0.045
Pm 0.276 0.016 0.545
Pm 0.724 0.984 0.455
Pm 0.984 0.724 0.955
Nd 0.018 0.982 0.750
Nd 0.223 0.475 0.452
Nd 0.475 0.223 0.952
Nd 0.525 0.777 0.048
Nd 0.777 0.525 0.548
Nd 0.982 0.018 0.250
Ho 0.124 0.392 0.763
Ho 0.225 0.775 0.750
Ho 0.278 0.722 0.250
Ho 0.392 0.124 0.263
Ho 0.477 0.523 0.250
Ho 0.523 0.477 0.750
Ho 0.608 0.876 0.737
Ho 0.722 0.278 0.750
Ho 0.775 0.225 0.250
Ho 0.876 0.608 0.237

(9)
VASP calculation (GGA-PBE) on Pm3Nd7Ho after structural relaxation.

Summary:
**Space group**: Immm
**DFT total energy**: -4.52 eV per atom

Unit cell a=8.627 b=8.627 c=8.627 alpha=139.40 beta=97.16 gamma=96.67
Positions (direct):
Pm 0.000 0.000 0.000
Pm 0.208 0.500 0.708
Pm 0.792 0.500 0.292
Nd 0.010 0.804 0.206
Nd 0.210 0.710 0.500
Nd 0.403 0.196 0.206
Nd 0.500 0.500 0.000
Nd 0.597 0.804 0.794
Nd 0.790 0.290 0.500
Nd 0.990 0.196 0.794
Ho 0.500 0.000 0.500

(10)
VASP calculation (GGA-PBE) on Pm4Nd5Ho after structural relaxation.

Summary:
**Space group**: I4mm
**Distance to the lowest polymorph of the same formula**: 20.8 kJ/mol of atoms

Unit cell a=8.117 b=8.117 c=8.117 alpha=98.52 beta=98.52 gamma=134.71
Positions (direct):
Pm 0.000 0.325 0.325
Pm 0.000 0.675 0.675
Pm 0.325 0.000 0.325
Pm 0.675 0.000 0.675
Nd 0.280 0.280 0.622
Nd 0.280 0.658 0.000
Nd 0.658 0.280 0.000
Nd 0.658 0.658 0.378
Nd 0.744 0.744 0.000
Ho 0.209 0.209 0.000

(11)
VASP calculation (GGA-PBE) on Pm2NdHo after structural relaxation.

Summary:
**Space group**: P4/mmm
**Distance to the lowest polymorph of the same formula**: 0.0 kJ/mol of atoms

Unit cell a=5.124 b=5.124 c=5.131 alpha=90.00 beta=90.00 gamma=90.00
Positions (direct):
Pm 0.000 0.500 0.000
Pm 0.500 0.000 0.000
Nd 0.000 0.000 0.500
Ho 0.500 0.500 0.500

(12)
VASP calculation (GGA-PBE) on Pm5NdHo5 after structural relaxation.

Summary:
**Space group**: P-6m2
**DFT total energy**: -4.38 eV per atom

Unit cell a=6.116 b=6.116 c=11.770 alpha=90.00 beta=90.00 gamma=120.00
Positions (direct):
Pm 0.000 0.000 0.000
Pm 0.333 0.667 0.321
Pm 0.333 0.667 0.679
Pm 0.667 0.333 0.156
Pm 0.667 0.333 0.844
Nd 0.333 0.667 0.000
Ho 0.000 0.000 0.266
Ho 0.000 0.000 0.734
Ho 0.333 0.167 0.500
Ho 0.833 0.167 0.500
Ho 0.833 0.667 0.500